# 1
## Ho4Mg9Pb11 (PBE)

Data for a relaxed structure of Ho4Mg9Pb11.

a = 3.5318 Å, b = 13.9912 Å, c = 13.9912 Å
α = 111.04°, β = 90.00°, γ = 90.00°
Closest atoms and distances in Å follow each position.
Element x y z (fractional)
Pb 0.0000 0.2152 0.2152  4 Mg 3.22, 4 Ho 3.27, 3 Pb 3.41-3.53
Pb 0.0000 0.9568 0.5955  6 Mg 3.28-3.37, 4 Pb 3.31-3.55, 2 Ho 3.32
Pb 0.0000 0.5955 0.9568  6 Mg 3.28-3.37, 4 Pb 3.31-3.55, 2 Ho 3.32
Pb 0.0000 0.3752 0.6248  4 Ho 3.27, 6 Mg 3.38-3.41, 2 Pb 3.53
Pb 0.0000 0.7848 0.7848  4 Mg 3.22, 4 Ho 3.27, 3 Pb 3.41-3.53
Pb 0.0000 0.4045 0.0432  6 Mg 3.28-3.37, 4 Pb 3.31-3.55, 2 Ho 3.32
Pb 0.0000 0.8182 0.1818  8 Mg 3.23-3.24, 4 Pb 3.53-3.55
Pb 0.0000 0.1818 0.8182  8 Mg 3.23-3.24, 4 Pb 3.53-3.55
Pb 0.0000 0.0432 0.4045  6 Mg 3.28-3.37, 4 Pb 3.31-3.55, 2 Ho 3.32
Pb 0.0000 0.6248 0.3752  4 Ho 3.27, 6 Mg 3.38-3.41, 2 Pb 3.53
Pb 0.0000 0.0000 0.0000  8 Mg 3.23, 4 Pb 3.41-3.53
Mg 0.5000 0.3813 0.8352  8 Pb 3.24-3.41, 1 Ho 3.37, 3 Mg 3.43-3.53
Mg 0.5000 0.6187 0.1648  8 Pb 3.24-3.41, 1 Ho 3.37, 3 Mg 3.43-3.53
Mg 0.5000 0.1648 0.6187  8 Pb 3.24-3.41, 1 Ho 3.37, 3 Mg 3.43-3.53
Mg 0.5000 0.9827 0.8008  8 Pb 3.22-3.28, 3 Mg 3.43-3.53, 1 Ho 3.60
Mg 0.5000 0.0173 0.1992  8 Pb 3.22-3.28, 3 Mg 3.43-3.53, 1 Ho 3.60
Mg 0.5000 0.1992 0.0173  8 Pb 3.22-3.28, 3 Mg 3.43-3.53, 1 Ho 3.60
Mg 0.5000 0.8008 0.9827  8 Pb 3.22-3.28, 3 Mg 3.43-3.53, 1 Ho 3.60
Mg 0.5000 0.5000 0.5000  4 Ho 3.27, 4 Pb 3.38, 2 Mg 3.53
Mg 0.5000 0.8352 0.3813  8 Pb 3.24-3.41, 1 Ho 3.37, 3 Mg 3.43-3.53
Ho 0.5000 0.4214 0.2498  6 Pb 3.27-3.32, 3 Mg 3.27-3.60, 2 Ho 3.53
Ho 0.5000 0.2498 0.4214  6 Pb 3.27-3.32, 3 Mg 3.27-3.60, 2 Ho 3.53
Ho 0.5000 0.7502 0.5786  6 Pb 3.27-3.32, 3 Mg 3.27-3.60, 2 Ho 3.53
Ho 0.5000 0.5786 0.7502  6 Pb 3.27-3.32, 3 Mg 3.27-3.60, 2 Ho 3.53

Calculated values
V = 26.9 Å³/atom
SG = Cmmm, No. 65
calculated total energy = -3.179 eV/atom
energy relative to the elements = -0.118 eV/atom

***

# 2
## LiZnGaAg3 (PBE)

Data for a relaxed structure of LiZnGaAg3.

a = 3.3120 Å, b = 7.0133 Å, c = 9.6090 Å
α = 116.84°, β = 90.00°, γ = 90.00°
Closest atoms and distances in Å follow each position.
Element x y z (fractional)
Li 0.7500 0.3702 0.8715  4 Ag 2.70-2.71, 2 Ga 2.74, 2 Li 2.85
Li 0.2500 0.6298 0.1285  4 Ag 2.70-2.71, 2 Ga 2.74, 2 Li 2.85
Ag 0.7500 0.3519 0.5318  2 Zn 2.75, 3 Ga 2.79-2.94, 4 Ag 2.89-2.93
Ag 0.2500 0.6139 0.7956  2 Li 2.71, 2 Zn 2.73, 4 Ag 2.84-2.89
Ag 0.2500 0.6481 0.4682  2 Zn 2.75, 3 Ga 2.79-2.94, 4 Ag 2.89-2.93
Ag 0.7500 0.3861 0.2044  2 Li 2.71, 2 Zn 2.73, 4 Ag 2.84-2.89
Ag 0.2500 0.1279 0.9475  2 Li 2.70, 2 Zn 2.71, 4 Ag 2.84-2.94, 1 Ga 3.01
Ag 0.7500 0.8721 0.0525  2 Li 2.70, 2 Zn 2.71, 4 Ag 2.84-2.94, 1 Ga 3.01
Zn 0.2500 0.1376 0.2803  6 Ag 2.71-2.75, 2 Ga 2.84
Zn 0.7500 0.8624 0.7197  6 Ag 2.71-2.75, 2 Ga 2.84
Ga 0.2500 0.1180 0.6314  2 Li 2.74, 4 Ag 2.79-3.01, 2 Zn 2.84, 2 Ga 2.84
Ga 0.7500 0.8820 0.3686  2 Li 2.74, 4 Ag 2.79-3.01, 2 Zn 2.84, 2 Ga 2.84

Calculated values
V = 16.6 Å³/atom
SG = P2_1/m, No. 11
calculated total energy = -2.551 eV/atom
energy relative to the elements = -0.089 eV/atom

***

# 3
## CrTe2 (PBE)

Data for a relaxed structure of CrTe2.

a = 5.4792 Å, b = 5.4792 Å, c = 8.3505 Å
α = 82.89°, β = 82.89°, γ = 40.16°
Closest atoms and distances in Å follow each position.
Element x y z (fractional)
Te 0.3870 0.3870 0.2534  2 Cr 2.74, 1 Te 2.90
Te 0.3971 0.3971 0.7567  5 Cr 2.86-3.07
Te 0.6386 0.6386 0.0024  4 Cr 2.71-3.02
Te 0.1394 0.1394 0.4653  2 Cr 2.69, 1 Te 2.90
Cr 0.9078 0.9078 0.0129  7 Te 2.74-3.02
Cr 0.6967 0.6967 0.6760  5 Te 2.69-2.94

Calculated values
V = 26.7 Å³/atom
E_form (uncorrected) = 0.00 eV/f.u.
SG = Cm, No. 8
calculated total energy = -5.303 eV/atom